(1)
The following is a DFT calculation (PBE+U) of crystalline Ba2SrCoO4 at its relaxed geometry.

Output
magnetization: 3.0 μB/f.u.
mass density: 5.33 g cm⁻³

Cell lengths 6.459, 6.459, 13.249 Å; angles 90.00, 90.00, 146.85 degrees
Positions (direct):
1 Ba 0.133 0.867 0.548
2 Ba 0.133 0.867 0.952
3 Ba 0.867 0.133 0.048
4 Ba 0.867 0.133 0.452
5 Sr 0.386 0.614 0.750
6 Sr 0.614 0.386 0.250
7 Co 0.333 0.667 0.250
8 Co 0.667 0.333 0.750
9 O 0.077 0.923 0.750
10 O 0.223 0.777 0.142
11 O 0.223 0.777 0.358
12 O 0.500 0.500 0.000
13 O 0.500 0.500 0.500
14 O 0.777 0.223 0.642
15 O 0.777 0.223 0.858
16 O 0.923 0.077 0.250



(2)
The following is a DFT calculation (PBE+U) of crystalline BaSrCoWO6 at its relaxed geometry.

Output
magnetization: 3.0 μB/f.u.
mass density: 6.93 g cm⁻³

Cell lengths 5.764, 5.764, 5.764 Å; angles 59.87, 59.87, 59.87 degrees
Positions (direct):
1 Ba 0.000 0.000 0.000
2 Sr 0.498 0.498 0.498
3 Co 0.749 0.749 0.749
4 W 0.250 0.250 0.250
5 O 0.009 0.009 0.490
6 O 0.009 0.490 0.009
7 O 0.010 0.490 0.490
8 O 0.490 0.009 0.009
9 O 0.490 0.010 0.490
10 O 0.490 0.490 0.010



(3)
The following is a DFT calculation (PBE+U) of crystalline BaTa2CoO8 at its relaxed geometry.

Output
magnetization: 1.1 μB/f.u.
mass density: 6.48 g cm⁻³

Cell lengths 5.165, 5.165, 7.084 Å; angles 101.55, 101.55, 74.10 degrees
Positions (direct):
1 Ba 0.000 0.000 0.000
2 Ta 0.432 0.432 0.755
3 Ta 0.568 0.568 0.245
4 Co 0.000 0.000 0.500
5 O 0.223 0.769 0.311
6 O 0.226 0.226 0.569
7 O 0.231 0.777 0.689
8 O 0.347 0.347 0.985
9 O 0.653 0.653 0.015
10 O 0.769 0.223 0.311
11 O 0.774 0.774 0.431
12 O 0.777 0.231 0.689



(4)
The following is a DFT calculation (PBE+U) of crystalline Ba2Ta3CoO12 at its relaxed geometry.

Output
magnetization: 2.0 μB/f.u.
mass density: 6.57 g cm⁻³

Cell lengths 7.154, 7.154, 7.154 Å; angles 61.89, 61.89, 61.89 degrees
Positions (direct):
1 Ba 0.157 0.157 0.157
2 Ba 0.843 0.843 0.843
3 Ta 0.000 0.500 0.500
4 Ta 0.500 0.000 0.500
5 Ta 0.500 0.500 0.000
6 Co 0.500 0.500 0.500
7 O 0.174 0.174 0.553
8 O 0.174 0.553 0.174
9 O 0.199 0.563 0.563
10 O 0.437 0.437 0.801
11 O 0.437 0.801 0.437
12 O 0.447 0.826 0.826
13 O 0.553 0.174 0.174
14 O 0.563 0.199 0.563
15 O 0.563 0.563 0.199
16 O 0.801 0.437 0.437
17 O 0.826 0.447 0.826
18 O 0.826 0.826 0.447



(5)
The following is a DFT calculation (PBE+U) of crystalline Ba2Tb2Co4O11 at its relaxed geometry.

Output
magnetization: 12.0 μB/f.u.
mass density: 7.04 g cm⁻³

Cell lengths 3.926, 7.705, 7.830 Å; angles 90.00, 90.00, 90.00 degrees
Positions (direct):
1 Ba 0.000 0.000 0.249
2 Ba 0.000 0.000 0.751
3 Tb 0.000 0.500 0.228
4 Tb 0.000 0.500 0.772
5 Co 0.500 0.255 0.000
6 Co 0.500 0.259 0.500
7 Co 0.500 0.741 0.500
8 Co 0.500 0.745 0.000
9 O 0.000 0.279 0.000
10 O 0.000 0.315 0.500
11 O 0.000 0.685 0.500
12 O 0.000 0.721 0.000
13 O 0.500 0.000 0.000
14 O 0.500 0.000 0.500
15 O 0.500 0.303 0.270
16 O 0.500 0.303 0.730
17 O 0.500 0.500 0.000
18 O 0.500 0.697 0.270
19 O 0.500 0.697 0.730



(6)
The following is a DFT calculation (PBE+U) of crystalline Ba3TbCo2O8 at its relaxed geometry.

Output
magnetization: 9.0 μB/f.u.
mass density: 5.71 g cm⁻³

Cell lengths 6.006, 6.006, 7.602 Å; angles 90.00, 90.00, 120.00 degrees
Positions (direct):
1 Ba 0.000 0.000 0.000
2 Ba 0.333 0.667 0.660
3 Ba 0.667 0.333 0.340
4 Tb 0.000 0.000 0.500
5 Co 0.333 0.667 0.217
6 Co 0.667 0.333 0.783
7 O 0.171 0.341 0.317
8 O 0.171 0.829 0.317
9 O 0.333 0.667 0.987
10 O 0.341 0.171 0.683
11 O 0.659 0.829 0.317
12 O 0.667 0.333 0.013
13 O 0.829 0.171 0.683
14 O 0.829 0.659 0.683



(7)
The following is a DFT calculation (PBE+U) of crystalline Ba2TbCo2O6 at its relaxed geometry.

Output
magnetization: 7.0 μB/f.u.
mass density: 5.86 g cm⁻³

Cell lengths 6.704, 6.704, 6.704 Å; angles 54.04, 54.04, 54.04 degrees
Positions (direct):
1 Ba 0.218 0.218 0.218
2 Ba 0.782 0.782 0.782
3 Tb 0.000 0.000 0.000
4 Co 0.437 0.437 0.437
5 Co 0.563 0.563 0.563
6 O 0.241 0.751 0.751
7 O 0.249 0.249 0.759
8 O 0.249 0.759 0.249
9 O 0.751 0.241 0.751
10 O 0.751 0.751 0.241
11 O 0.759 0.249 0.249



(8)
The following is a DFT calculation (PBE+U) of crystalline BaTb2CoO5 at its relaxed geometry.

Output
magnetization: 3.0 μB/f.u.
mass density: 7.66 g cm⁻³

Cell lengths 6.771, 6.771, 6.771 Å; angles 147.50, 128.76, 62.00 degrees
Positions (direct):
1 Ba 0.000 0.000 0.000
2 Tb 0.297 0.797 0.500
3 Tb 0.703 0.203 0.500
4 Co 0.500 0.500 0.000
5 O 0.108 0.349 0.759
6 O 0.409 0.651 0.759
7 O 0.500 0.000 0.500
8 O 0.591 0.349 0.241
9 O 0.892 0.651 0.241



Number 1: energy -5.86 eV/atom. Number 2: energy -6.88 eV/atom. Number 3: energy -8.04 eV/atom. Number 4: energy -8.17 eV/atom. Number 5: energy -6.60 eV/atom. Number 6: energy -6.44 eV/atom. Number 7: energy -6.50 eV/atom. Number 8: energy -7.34 eV/atom.